VASP calculation (PBE+U) on a relaxed structure of MnGa2BiO6.

E_tot, eV/atom: -6.22
Magnetic moment, μB/cell: 8.00

Unit cell a=6.177 b=7.021 c=7.021 alpha=97.68 beta=74.03 gamma=74.03
Sites, in units of the cell vectors:
Mn (0.250, 0.218, 0.782)
Mn (0.750, 0.782, 0.218)
Ga (0.322, 0.715, 0.559)
Ga (0.178, 0.441, 0.285)
Ga (0.678, 0.285, 0.441)
Ga (0.822, 0.559, 0.715)
Bi (0.250, 0.899, 0.101)
Bi (0.750, 0.101, 0.899)
O (0.181, 0.954, 0.787)
O (0.319, 0.213, 0.046)
O (0.819, 0.046, 0.213)
O (0.681, 0.787, 0.954)
O (0.421, 0.866, 0.364)
O (0.079, 0.636, 0.134)
O (0.579, 0.134, 0.636)
O (0.921, 0.364, 0.866)
O (0.031, 0.675, 0.557)
O (0.469, 0.443, 0.325)
O (0.969, 0.325, 0.443)
O (0.531, 0.557, 0.675)

=====

VASP calculation (PBE+U) on a relaxed structure of MnGaBi2O.

E_tot, eV/atom: -4.58
Magnetic moment, μB/cell: 4.71

Unit cell a=6.285 b=3.564 c=6.285 alpha=90.00 beta=90.00 gamma=90.00
Sites, in units of the cell vectors:
O (0.000, 0.500, 0.000)
Mn (0.500, 0.500, 0.500)
Bi (0.000, 0.000, 0.500)
Bi (0.500, 0.000, 0.000)
Ga (0.000, 0.000, 0.000)

=====

VASP calculation (PBE+U) on a relaxed structure of MnGaBi2O6.

E_tot, eV/atom: -6.24
Magnetic moment, μB/cell: 4.00

Unit cell a=5.741 b=5.650 c=5.601 alpha=61.18 beta=61.29 gamma=57.65
Sites, in units of the cell vectors:
Mn (0.810, 0.812, 0.559)
Ga (0.314, 0.309, 0.066)
Bi (0.526, 0.534, 0.402)
Bi (0.037, 0.029, 0.898)
O (0.589, 0.139, 0.280)
O (0.156, 0.015, 0.247)
O (0.996, 0.607, 0.262)
O (0.481, 0.626, 0.787)
O (0.650, 0.087, 0.767)
O (0.103, 0.504, 0.748)

=====

> Among the records above, which one has the highest magnetic moment?

MnGa2BiO6

=====

> Number 3 is which compound?

MnGaBi2O6